A plane-wave DFT calculation with GGA-PBE was carried out for ZnCd after structural relaxation.

## Properties
Energy of formation from the pure elements: 0.056 eV/atom
Volume: 163 Å³ per cell
Total DFT energy (no corrections): -1.04 eV per atom
Symmetry: Imm2, No. 44
Spin magnetization: 0.00 μB/cell

Lattice parameters (Å, degrees): 13.3035 2.8714 4.2783 90.00 90.00 90.00
Last column: nearest neighbours and their distance in Å.
Atoms (fractional coordinates):
Cd1 0.1882 0.5000 0.2245  6 Cd 2.87-3.06, 2 Zn 2.89
Cd2 0.8118 0.5000 0.2245  6 Cd 2.87-3.06, 2 Zn 2.89
Cd3 0.3118 0.0000 0.7245  6 Cd 2.87-3.06, 2 Zn 2.89
Cd4 0.6882 0.0000 0.7245  6 Cd 2.87-3.06, 2 Zn 2.89
Zn1 0.0000 0.0000 0.2282  6 Zn 2.58-2.87
Zn2 0.0000 0.5000 0.7279  6 Zn 2.58-2.87
Zn3 0.5000 0.5000 0.7282  6 Zn 2.58-2.87
Zn4 0.5000 0.0000 0.2279  6 Zn 2.58-2.87


A plane-wave DFT calculation with GGA-PBE was carried out for Ac8Co3PtBr4 after structural relaxation.

## Properties
Volume: 526 Å³ per cell
Total DFT energy (no corrections): -5.08 eV per atom
Symmetry: R-3m, No. 166
Spin magnetization: 0.00 μB/cell
Raw formation energy: -0.9020 eV per atom

Lattice parameters (Å, degrees): 8.5832 9.6173 8.5837 116.54 120.00 90.00
Last column: nearest neighbours and their distance in Å.
Atoms (fractional coordinates):
Br1 0.0000 0.0000 0.0000  6 Ac 3.55-3.58
Br2 0.5000 0.0000 0.0000  6 Ac 3.49
Br3 0.0000 0.0000 0.5000  6 Ac 3.55-3.57
Br4 0.5000 0.0000 0.5000  6 Ac 3.55-3.57
Ac1 0.7638 0.3078 0.0438  2 Co 2.91, 1 Pt 3.01
Ac2 0.2362 0.6922 0.4723  2 Co 2.91, 1 Pt 3.01
Ac3 0.2695 0.3089 0.5391  3 Co 2.94
Ac4 0.2800 0.3078 0.0438  2 Co 2.91, 1 Pt 3.01
Ac5 0.2362 0.6922 0.9562  2 Co 2.91, 1 Pt 3.01
Ac6 0.7305 0.6911 0.4609  3 Co 2.94
Ac7 0.7200 0.6922 0.9562  2 Co 2.91, 1 Pt 3.01
Ac8 0.7638 0.3078 0.5277  2 Co 2.91, 1 Pt 3.01
Co1 0.5000 0.5000 0.5000  6 Ac 2.91-2.94
Co2 0.5000 0.5000 0.0000  6 Ac 2.91-2.94
Co3 0.0000 0.5000 0.5000  6 Ac 2.91-2.94
Pt1 0.0000 0.5000 0.0000  6 Ac 3.01


A plane-wave DFT calculation with GGA-PBE was carried out for Ce3CdTc after structural relaxation.

## Properties
Distance to the lowest polymorph of the same formula: 0.0903 eV/atom
Energy of formation from the pure elements: 0.047 eV/atom
Volume: 264 Å³ per cell
Total DFT energy (no corrections): -5.77 eV per atom
Symmetry: R-3m, No. 166
Spin magnetization: 3.14 μB/cell

Lattice parameters (Å, degrees): 6.6853 6.6853 7.8274 64.72 64.72 60.00
Last column: nearest neighbours and their distance in Å.
Atoms (fractional coordinates):
Ce1 0.7388 0.2624 0.2614  1 Tc 2.47
Ce2 0.2624 0.7374 0.2614  1 Tc 2.47
Ce3 0.2626 0.2612 0.7386  1 Tc 2.47
Ce4 0.2612 0.7376 0.7386  1 Tc 2.47
Ce5 0.7376 0.2626 0.7386  1 Tc 2.47
Ce6 0.7374 0.7388 0.2614  1 Tc 2.47
Cd1 0.2915 0.2915 0.1254  1 Tc 2.77
Cd2 0.7085 0.7085 0.8746  1 Tc 2.77
Tc1 0.1562 0.1562 0.5315  3 Ce 2.47
Tc2 0.8438 0.8438 0.4685  3 Ce 2.47


A plane-wave DFT calculation with GGA-PBE was carried out for La2WN after structural relaxation.

## Properties
Volume: 204 Å³ per cell
Total DFT energy (no corrections): -7.38 eV per atom
Symmetry: I-42d, No. 122
Spin magnetization: 6.00 μB/cell
Raw formation energy: 0.4042 eV per atom

Lattice parameters (Å, degrees): 7.0690 7.0690 6.4578 56.82 56.82 90.00
Last column: nearest neighbours and their distance in Å.
Atoms (fractional coordinates):
N1 0.5000 0.5000 0.0000  4 La 2.37
N2 0.2500 0.7500 0.5000  4 La 2.37
W1 0.7500 0.2500 0.5000  4 La 3.10
W2 0.0000 0.0000 0.0000  4 La 3.10
La1 0.2042 0.6250 0.2500  2 N 2.37
La2 0.3750 0.4542 0.7500  2 N 2.37
La3 0.8750 0.7958 0.7500  2 N 2.37
La4 0.5458 0.1250 0.2500  2 N 2.37


A plane-wave DFT calculation with GGA-PBE was carried out for TaWCl2 after structural relaxation.

## Properties
Distance to the lowest polymorph of the same formula: 1.4731 eV/atom
Volume: 73 Å³ per cell
Total DFT energy (no corrections): -6.07 eV per atom
Symmetry: F-43m, No. 216
Spin magnetization: 0.64 μB/cell
Raw formation energy: 1.0562 eV per atom

Lattice parameters (Å, degrees): 4.6843 4.6843 4.6843 60.00 60.00 60.00
Last column: nearest neighbours and their distance in Å.
Atoms (fractional coordinates):
Ta1 0.5000 0.5000 0.5000  4 Cl 2.87, 4 W 2.87
W1 0.7500 0.7500 0.7500  4 Ta 2.87, 4 Cl 2.87
Cl1 0.0000 0.0000 0.0000  4 W 2.87, 4 Cl 2.87
Cl2 0.2500 0.2500 0.2500  4 Cl 2.87, 4 Ta 2.87


A plane-wave DFT calculation with GGA-PBE was carried out for LaNbPdN2 after structural relaxation.

## Properties
Distance to the lowest polymorph of the same formula: 1.2214 eV/atom
Volume: 111 Å³ per cell
Total DFT energy (no corrections): -5.70 eV per atom
Symmetry: P4/mmm, No. 123
Spin magnetization: 0.00 μB/cell
Raw formation energy: 1.6693 eV per atom

Lattice parameters (Å, degrees): 4.0436 6.7734 4.0436 90.00 90.00 90.00
Last column: nearest neighbours and their distance in Å.
Atoms (fractional coordinates):
N1 0.0000 0.0000 0.5000  2 La 2.02
N2 0.5000 0.0000 0.0000  2 La 2.02
Pd1 0.5000 0.5000 0.5000  4 Nb 2.86
Nb1 0.0000 0.5000 0.0000  4 Pd 2.86
La1 0.0000 0.0000 0.0000  4 N 2.02


A plane-wave DFT calculation with GGA-PBE was carried out for HfNb2CoPd after structural relaxation.

## Properties
Energy of formation from the pure elements: 1.532 eV/atom
Volume: 106 Å³ per cell
Total DFT energy (no corrections): -6.95 eV per atom
Symmetry: P4/mmm, No. 123
Spin magnetization: 0.00 μB/cell

Lattice parameters (Å, degrees): 4.9329 4.3516 4.9329 90.00 90.00 90.00
Last column: nearest neighbours and their distance in Å.
Atoms (fractional coordinates):
Hf1 0.0000 0.0000 0.0000  2 Co 2.18
Nb1 0.5000 0.0000 0.0000  2 Hf 2.47
Nb2 0.0000 0.0000 0.5000  2 Hf 2.47
Co1 0.0000 0.5000 0.0000  2 Hf 2.18
Pd1 0.5000 0.5000 0.5000  8 Nb 3.29, 4 Co 3.49


A plane-wave DFT calculation with GGA-PBE was carried out for InRh3O6 after structural relaxation.

## Properties
Volume: 118 Å³ per cell
Total DFT energy (no corrections): -6.35 eV per atom
Symmetry: Cmmm, No. 65
Spin magnetization: 1.33 μB/cell
Raw formation energy: -0.8978 eV per atom

Lattice parameters (Å, degrees): 3.1978 6.2434 6.2434 109.29 90.00 90.00
Last column: nearest neighbours and their distance in Å.
Atoms (fractional coordinates):
O1 0.5000 0.6524 0.3476  2 Rh 2.06, 2 In 2.23
O2 0.0000 0.6684 0.9285  3 Rh 1.97-2.04
O3 0.0000 0.3316 0.0715  3 Rh 1.97-2.04
O4 0.0000 0.9285 0.6684  3 Rh 1.97-2.04
O5 0.0000 0.0715 0.3316  3 Rh 1.97-2.04
O6 0.5000 0.3476 0.6524  2 Rh 2.06, 2 In 2.23
Rh1 0.5000 0.5000 0.0000  6 O 2.04-2.06
Rh2 0.5000 0.0000 0.5000  6 O 2.04-2.06
Rh3 0.0000 0.0000 0.0000  4 O 1.97
In1 0.0000 0.5000 0.5000  4 O 2.23


A plane-wave DFT calculation with GGA-PBE was carried out for TaNb2HIr after structural relaxation.

## Properties
Distance to the lowest polymorph of the same formula: 0.0135 eV/atom
Volume: 71 Å³ per cell
Total DFT energy (no corrections): -9.04 eV per atom
Symmetry: P4/mmm, No. 123
Spin magnetization: 0.00 μB/cell

Lattice parameters (Å, degrees): 4.0291 4.0291 4.3912 90.00 90.00 90.00
Last column: nearest neighbours and their distance in Å.
Atoms (fractional coordinates):
Nb1 0.5000 0.0000 0.0000  2 H 2.01
Nb2 0.0000 0.5000 0.0000  2 H 2.01
H1 0.0000 0.0000 0.0000  4 Nb 2.01, 2 Ta 2.20
Ta1 0.0000 0.0000 0.5000  2 H 2.20
Ir1 0.5000 0.5000 0.5000  4 Ta 2.85, 8 Nb 2.98


A plane-wave DFT calculation with GGA-PBE was carried out for HfIn3P after structural relaxation.

## Properties
Distance to the lowest polymorph of the same formula: 0.0000 eV/atom
Energy of formation from the pure elements: 0.712 eV/atom
Volume: 131 Å³ per cell
Total DFT energy (no corrections): -4.00 eV per atom
Symmetry: Pm-3m, No. 221
Spin magnetization: 0.00 μB/cell

Lattice parameters (Å, degrees): 5.0843 5.0843 5.0843 90.00 90.00 90.00
Last column: nearest neighbours and their distance in Å.
Atoms (fractional coordinates):
In1 0.0000 0.5000 0.0000  2 P 2.54
In2 0.0000 0.0000 0.5000  2 P 2.54
In3 0.5000 0.0000 0.0000  2 P 2.54
P1 0.0000 0.0000 0.0000  6 In 2.54
Hf1 0.5000 0.5000 0.5000  12 In 3.60


A plane-wave DFT calculation with GGA-PBE was carried out for AlAg2H2 after structural relaxation.

## Properties
Distance to the lowest polymorph of the same formula: 0.0000 eV/atom
Volume: 132 Å³ per cell
Total DFT energy (no corrections): -2.81 eV per atom
Symmetry: P4/mbm, No. 127
Spin magnetization: 0.00 μB/cell

Lattice parameters (Å, degrees): 6.9065 6.9065 2.7771 90.00 90.00 90.00
Last column: nearest neighbours and their distance in Å.
Atoms (fractional coordinates):
Ag1 0.3544 0.1456 0.5000  2 H 1.83
Ag2 0.1456 0.6456 0.5000  2 H 1.83
Ag3 0.8544 0.3544 0.5000  2 H 1.83
Ag4 0.6456 0.8544 0.5000  2 H 1.83
H1 0.2674 0.7674 0.0000  2 Ag 1.83
H2 0.2326 0.2674 0.0000  2 Ag 1.83
H3 0.7674 0.7326 0.0000  2 Ag 1.83
H4 0.7326 0.2326 0.0000  2 Ag 1.83
Al1 0.5000 0.5000 0.0000  4 H 2.45
Al2 0.0000 0.0000 0.0000  4 H 2.45


A plane-wave DFT calculation with GGA-PBE was carried out for La2TeP after structural relaxation.

## Properties
Distance to the lowest polymorph of the same formula: 0.3039 eV/atom
Volume: 121 Å³ per cell
Total DFT energy (no corrections): -5.96 eV per atom
Symmetry: Amm2, No. 38
Spin magnetization: 0.00 μB/cell
Raw formation energy: -1.3610 eV per atom

Lattice parameters (Å, degrees): 6.6034 6.6034 4.5869 90.00 90.00 142.74
Last column: nearest neighbours and their distance in Å.
Atoms (fractional coordinates):
La1 0.9996 0.0004 0.5000  4 P 3.12, 1 Te 3.30
La2 0.2680 0.7320 0.0000  1 P 2.86, 4 Te 3.14
Te1 0.7356 0.2644 0.5000  5 La 3.14-3.30
P1 0.4969 0.5031 0.0000  5 La 2.86-3.12